PaFe2WO8 | the Alexandria database | PBE+U | optimized geometry; SG = No. 119; magnetic moment = 9.000 μB/cell; energy = -92.65 eV/cell
1.0
-5.5094 0.8207 1.6685
2.5624 -3.5183 3.8558
2.7987 5.0918 -0.2275
Pa Fe W O
1 2 1 8
direct
0.0000 0.0000 0.0000 Pa
0.7500 0.2500 0.5000 Fe
0.5000 0.5000 0.0000 Fe
0.2500 0.7500 0.5000 W
0.3389 0.0176 0.3213 O
0.3118 0.5173 0.2055 O
0.3118 0.1064 0.7945 O
0.6962 0.0176 0.6787 O
0.8936 0.6882 0.2055 O
0.9824 0.3038 0.3213 O
0.9824 0.6611 0.6787 O
0.4827 0.6882 0.7945 O

=====

Cs4Ho3MnO8 | the Alexandria database | PBE+U | optimized geometry; SG = No. 12; magnetic moment = 3.956 μB/cell; energy = -100.61 eV/cell
1.0
-4.6984 0.8058 4.9281
1.3723 -7.3602 2.5118
5.6167 4.2991 -0.1176
Cs Ho Mn O
4 3 1 8
direct
0.5000 0.0000 0.0000 Cs
0.5000 0.0000 0.5000 Cs
0.0000 0.0000 0.0000 Cs
0.0000 0.0000 0.5000 Cs
0.5000 0.5000 0.0000 Ho
0.5000 0.5000 0.5000 Ho
0.0000 0.5000 0.5000 Ho
0.0000 0.5000 0.0000 Mn
0.1947 0.6487 0.9425 O
0.2496 0.6867 0.4992 O
0.2853 0.3372 0.5705 O
0.7478 0.6487 0.9425 O
0.2522 0.3513 0.0575 O
0.7147 0.6628 0.4295 O
0.7504 0.3133 0.5008 O
0.8053 0.3513 0.0575 O

=====

What did the first record say?
PaFe2WO8 | the Alexandria database | PBE+U | optimized geometry; SG = No. 119; magnetic moment = 9.000 μB/cell; energy = -92.65 eV/cell
1.0
-5.5094 0.8207 1.6685
2.5624 -3.5183 3.8558
2.7987 5.0918 -0.2275
Pa Fe W O
1 2 1 8
direct
0.0000 0.0000 0.0000 Pa
0.7500 0.2500 0.5000 Fe
0.5000 0.5000 0.0000 Fe
0.2500 0.7500 0.5000 W
0.3389 0.0176 0.3213 O
0.3118 0.5173 0.2055 O
0.3118 0.1064 0.7945 O
0.6962 0.0176 0.6787 O
0.8936 0.6882 0.2055 O
0.9824 0.3038 0.3213 O
0.9824 0.6611 0.6787 O
0.4827 0.6882 0.7945 O

=====

- Number 1 is which compound?
  PaFe2WO8